Record 1
# PBE with a Hubbard U Ca3MnCoO6, relaxed
data_Ca3MnCoO6
_chemical_formula_sum 'Ca6 Mn2 Co2 O12'
_space_group_name_H-M_alt 'P 1'
_space_group_IT_number 1
_cell_length_a 6.395
_cell_length_b 6.410
_cell_length_c 6.417
_cell_angle_alpha 92.26
_cell_angle_beta 92.14
_cell_angle_gamma 92.10
loop_
_space_group_symop_operation_xyz
'x,y,z'
loop_
_atom_site_label
_atom_site_type_symbol
_atom_site_fract_x
_atom_site_fract_y
_atom_site_fract_z
_atom_site_occupancy
Co1 Co 0.749 0.754 0.747 1
Co2 Co 0.252 0.245 0.253 1
O1 O 0.212 0.420 0.548 1
O2 O 0.543 0.211 0.417 1
O3 O 0.585 0.455 0.786 1
O4 O 0.711 0.046 0.920 1
O5 O 0.788 0.580 0.452 1
O6 O 0.917 0.714 0.047 1
O7 O 0.415 0.545 0.214 1
O8 O 0.289 0.954 0.080 1
O9 O 0.083 0.286 0.953 1
O10 O 0.957 0.085 0.288 1
O11 O 0.457 0.789 0.584 1
O12 O 0.042 0.915 0.712 1
Ca1 Ca 0.889 0.253 0.611 1
Ca2 Ca 0.611 0.888 0.248 1
Ca3 Ca 0.249 0.610 0.890 1
Ca4 Ca 0.111 0.747 0.389 1
Ca5 Ca 0.389 0.112 0.752 1
Ca6 Ca 0.751 0.390 0.110 1
Mn1 Mn 0.000 0.000 0.000 1
Mn2 Mn 0.500 0.500 0.500 1
# Space-group type: No. 2
# E_tot in eV/atom: -6.64

Record 2
# PBE with a Hubbard U Ca2MnCoO, relaxed
data_Ca2MnCoO
_chemical_formula_sum 'Ca2 Mn1 Co1 O1'
_space_group_name_H-M_alt 'P 1'
_space_group_IT_number 1
_cell_length_a 5.938
_cell_length_b 3.647
_cell_length_c 5.938
_cell_angle_alpha 90.00
_cell_angle_beta 90.00
_cell_angle_gamma 90.00
loop_
_space_group_symop_operation_xyz
'x,y,z'
loop_
_atom_site_label
_atom_site_type_symbol
_atom_site_fract_x
_atom_site_fract_y
_atom_site_fract_z
_atom_site_occupancy
Ca1 Ca 0.500 0.000 0.000 1
Ca2 Ca 0.000 0.000 0.500 1
Mn1 Mn 0.000 0.000 0.000 1
Co1 Co 0.500 0.500 0.500 1
O1 O 0.000 0.500 0.000 1
# Space-group type: No. 123
# E_tot in eV/atom: -4.16

Record 3
# PBE with a Hubbard U Ca2MnCoO4, relaxed
data_Ca2MnCoO4
_chemical_formula_sum 'Ca2 Mn1 Co1 O4'
_space_group_name_H-M_alt 'P 1'
_space_group_IT_number 1
_cell_length_a 3.280
_cell_length_b 5.704
_cell_length_c 5.579
_cell_angle_alpha 110.22
_cell_angle_beta 90.00
_cell_angle_gamma 90.00
loop_
_space_group_symop_operation_xyz
'x,y,z'
loop_
_atom_site_label
_atom_site_type_symbol
_atom_site_fract_x
_atom_site_fract_y
_atom_site_fract_z
_atom_site_occupancy
Mn1 Mn 0.500 0.500 0.000 1
O1 O 0.500 0.239 0.231 1
O2 O 0.500 0.761 0.769 1
O3 O 0.000 0.254 0.766 1
O4 O 0.000 0.746 0.234 1
Ca1 Ca 0.500 0.000 0.500 1
Ca2 Ca 0.000 0.500 0.500 1
Co1 Co 0.000 0.000 0.000 1
# Space-group type: No. 10
# E_tot in eV/atom: -6.65

E_tot of number 3 (Ca2MnCoO4)?
-6.65 eV/atom